Record 1
The following is a PBE calculation of a geometry-optimized AcLa2Sn structure, from Alexandria via LeMat-Bulk.

Its magnetization is 0.000 μB/f.u. The formation energy comes out at -0.2158 eV per atom. The relative energy among the computed polymorphs is 0.86 eV/f.u.

The space group is R3m (No. 160, hexagonal axes) and the conventional cell measures 3.9588, 3.9588 and 33.1565 Å, with angles of 90.00, 90.00 and 120.00 degrees. Symmetry generates all atoms from Ac at (0.0000, 0.0000, 0.0000), La at (0.0000, 0.0000, 0.5724), La at (0.0000, 0.0000, 0.7612) and Sn at (0.0000, 0.0000, 0.1666).

Record 2
The following is a PBE calculation of a geometry-optimized Ac5La5Sn6 structure, from Alexandria via LeMat-Bulk.

Its magnetization is 0.590 μB/f.u. The formation energy comes out at -0.6680 eV per atom.

The space group is Amm2 (No. 38) and the conventional cell measures 7.064, 16.802 and 9.756 Å, with angles of 90.00, 90.00 and 90.00 degrees. Symmetry generates all atoms from Ac at (0.000, 0.000, 0.000), Ac at (0.000, 0.122, 0.371), Ac at (0.500, 0.123, 0.125), La at (0.252, 0.167, 0.748), La at (0.500, 0.000, 0.498), Sn at (0.000, 0.000, 0.645), Sn at (0.000, 0.199, 0.049), Sn at (0.500, 0.000, 0.847) and Sn at (0.500, 0.195, 0.448).

Record 3
The following is a PBE calculation of a geometry-optimized AcLa4Sn4 structure, from Alexandria via LeMat-Bulk.

Its magnetization is 0.007 μB/f.u. The formation energy comes out at -0.4870 eV per atom.

The space group is P4_2/n (No. 86, origin choice 2) and the conventional cell measures 10.312, 10.312 and 6.535 Å, with angles of 90.00, 90.00 and 90.00 degrees. Symmetry generates all atoms from Ac at (0.250, 0.250, 0.250), La at (0.081, 0.651, 0.133) and Sn at (0.035, 0.617, 0.634).

Record 4
The following is a PBE calculation of a geometry-optimized Ac6LaSn6 structure, from Alexandria via LeMat-Bulk.

Its magnetization is 0.000 μB/f.u. The formation energy comes out at -0.3693 eV per atom.

The space group is P6/mmm (No. 191) and the conventional cell measures 8.0772, 8.0772 and 9.4762 Å, with angles of 90.00, 90.00 and 120.00 degrees. Symmetry generates all atoms from Ac at (0.0000, 0.5000, 0.2445), La at (0.0000, 0.0000, 0.5000), Sn at (0.0000, 0.0000, 0.1592), Sn at (0.3333, 0.6667, 0.0000) and Sn at (0.3333, 0.6667, 0.5000).

Record 5
The following is a PBE calculation of a geometry-optimized AcLa7Sn4 structure, from Alexandria via LeMat-Bulk.

Its magnetization is 0.311 μB/f.u. The formation energy comes out at -0.3480 eV per atom.

The space group is C2/m (No. 12) and the conventional cell measures 14.248, 6.159 and 11.540 Å, with angles of 90.00, 125.05 and 90.00 degrees. Symmetry generates all atoms from Ac at (0.000, 0.000, 0.000), La at (0.000, 0.500, 0.000), La at (0.053, 0.000, 0.366), La at (0.181, 0.500, 0.603), La at (0.208, 0.000, 0.888), Sn at (0.065, 0.500, 0.765) and Sn at (0.201, 0.500, 0.329).

Record 6
The following is a PBE calculation of a geometry-optimized Ac7LaSn4 structure, from Alexandria via LeMat-Bulk.

Its magnetization is 1.054 μB/f.u. The formation energy comes out at -0.2192 eV per atom.

The space group is C2/m (No. 12) and the conventional cell measures 16.248, 6.092 and 11.928 Å, with angles of 90.00, 126.57 and 90.00 degrees. Symmetry generates all atoms from Ac at (0.000, 0.000, 0.000), Ac at (0.074, 0.500, 0.338), Ac at (0.155, 0.000, 0.580), Ac at (0.210, 0.500, 0.872), La at (0.000, 0.500, 0.000), Sn at (0.074, 0.000, 0.777) and Sn at (0.210, 0.000, 0.335).

| no. | energy (eV/atom) | density of states at the Fermi level (states/eV per cell) |
| --- | --- | --- |
| 1 | -4.707 | 13.97 |
| 2 | -4.993 | 40.02 |
| 3 | -4.912 | 27.02 |
| 4 | -4.492 | 15.37 |
| 5 | -4.899 | 26.92 |
| 6 | -4.361 | 26.91 |